Entry from Alexandria: a crystal of HPb2Se relaxed with PBEsol (meta-GGA SCAN).

a = 7.0843 Å, b = 7.0843 Å, c = 7.0843 Å
α = 90.00°, β = 90.00°, γ = 90.00°
With the nearest neighbours (Å) after each atom.
Space group Fm-3m (No. 225)
One atom of each set of equivalent atoms:
H  0.0000  0.0000  0.0000  8 Pb 3.07
Pb  0.2500  0.2500  0.2500  4 H 3.07, 4 Se 3.07
Se  0.0000  0.0000  0.5000  8 Pb 3.07

Computed properties:
The calculated density comes out at 9.2 g cm⁻³. As for the crystal system: cubic. The final energy is -174.03 eV/f.u.

Entry from Alexandria: a crystal of HPb3Se relaxed with PBEsol (meta-GGA SCAN).

a = 5.6382 Å, b = 5.6382 Å, c = 5.6382 Å
α = 90.00°, β = 90.00°, γ = 90.00°
With the nearest neighbours (Å) after each atom.
Space group Pm-3m (No. 221)
One atom of each set of equivalent atoms:
H  0.0000  0.0000  0.0000  12 Pb 3.99
Pb  0.0000  0.5000  0.5000  2 Se 2.82
Se  0.5000  0.5000  0.5000  6 Pb 2.82

Computed properties:
The calculated density comes out at 6.5 g cm⁻³. As for the crystal system: cubic. The final energy is -246.99 eV/f.u.

| no. | size of the total moment (μB per formula unit) |
| --- | --- |
| 1 | 0.000 |
| 2 | 0.686 |